[1]
DFT (PBE-GGA) results for an optimized crystal structure of MgBiPdPt.

a b c (Å): 4.7483 4.7483 4.7483
angles (deg): 60.00 60.00 60.00
Closest atoms and distances in Å follow each position.
Element x y z (fractional)
Mg 0.5000 0.5000 0.5000  4 Pt 2.91, 4 Pd 2.91
Pd 0.2500 0.2500 0.2500  4 Bi 2.91, 4 Mg 2.91
Bi 0.0000 0.0000 0.0000  4 Pd 2.91, 4 Pt 2.91
Pt 0.7500 0.7500 0.7500  4 Mg 2.91, 4 Bi 2.91

Output
formation enthalpy at 0 K: -0.463 eV/atom
DOS at the Fermi energy: 1.34 states/eV/cell

---

[2]
DFT (PBE-GGA) results for an optimized crystal structure of Rb2Au2S.

a b c (Å): 9.0007 9.0007 4.8830
angles (deg): 90.00 90.00 90.00
Closest atoms and distances in Å follow each position.
Element x y z (fractional)
S 0.0000 0.0000 0.0000  4 Rb 3.29
S 0.5000 0.5000 0.0000  4 Rb 3.29
Au 0.1034 0.6034 0.5000  1 Au 2.63
Au 0.6034 0.8966 0.5000  1 Au 2.63
Au 0.8966 0.3966 0.5000  1 Au 2.63
Au 0.3966 0.1034 0.5000  1 Au 2.63
Rb 0.3142 0.8142 0.0000  2 S 3.29, 6 Au 3.63-3.64
Rb 0.8142 0.6858 0.0000  2 S 3.29, 6 Au 3.63-3.64
Rb 0.6858 0.1858 0.0000  2 S 3.29, 6 Au 3.63-3.64
Rb 0.1858 0.3142 0.0000  2 S 3.29, 6 Au 3.63-3.64

Output
formation energy (no corrections): 0.066 eV per atom
polymorph energy (0 for the lowest one): 494 meV per atom
DOS at the Fermi energy: 4.04 states/eV/cell